Compound: Ca2CdCl
Source: Alexandria
Functional: PBEsol
Structure: optimized geometry

Cell: 5.487 5.487 3.454 Å, 90.00 90.00 90.00°
Space group P4/mmm (No. 123)
Unique sites:
Ca1 0.000 0.500 0.000
Cd1 0.000 0.000 0.500
Cl1 0.500 0.500 0.500

Results
Energy relative to the elements, uncorrected: -0.81 eV per atom
Magnetic moment: 0.000 μB per atom
D(E_F): 2.396 states/eV/cell


Compound: TlZn2Cl
Source: Alexandria
Functional: PBEsol
Structure: optimized geometry

Cell: 3.486 3.477 7.536 Å, 90.00 103.29 90.00°
Space group Pm (No. 6)
Unique sites:
Tl1 0.000 0.000 0.000
Zn1 0.207 0.500 0.416
Zn2 0.662 0.000 0.326
Cl1 0.365 0.500 0.732

Results
Energy relative to the elements, uncorrected: -0.17 eV per atom
Magnetic moment: 0.000 μB per atom
D(E_F): 1.361 states/eV/cell


Compound: Sr2HgW
Source: Alexandria
Functional: PBEsol
Structure: optimized geometry

Cell: 3.2976 3.2976 32.4159 Å, 90.00 90.00 120.00°
Space group R-3m (No. 166, hexagonal axes)
Unique sites:
Sr1 0.0000 0.0000 0.2459
Hg1 0.0000 0.0000 0.0000
W1 0.0000 0.0000 0.5000

Results
Magnetic moment: 0.000 μB per atom
Formation energy: 80.7 kJ per mole of atoms
D(E_F): 8.330 states/eV/cell


Compound: GeSb2TeN
Source: Alexandria
Functional: PBEsol
Structure: optimized geometry

Cell: 5.274 5.274 5.402 Å, 90.00 90.00 90.00°
Space group P4/mmm (No. 123)
Unique sites:
Ge1 0.000 0.000 0.000
Sb1 0.000 0.500 0.000
Te1 0.000 0.000 0.500
N1 0.500 0.500 0.500

Results
Energy relative to the elements, uncorrected: 1.61 eV per atom
Magnetic moment: 0.480 μB per atom
D(E_F): 3.241 states/eV/cell


Compound: K2NaCoF6
Source: Alexandria
Functional: PBEsol
Structure: optimized geometry

Cell: 8.111 8.111 8.111 Å, 90.00 90.00 90.00°
Space group Fm-3m (No. 225)
Unique sites:
K1 0.250 0.250 0.250
Na1 0.000 0.000 0.000
Co1 0.000 0.000 0.500
F1 0.000 0.000 0.273

Results
Energy relative to the elements, uncorrected: -2.49 eV per atom
Magnetic moment: 0.016 μB per atom


Compound: ZnRhAu2
Source: Alexandria
Functional: PBEsol
Structure: optimized geometry

Cell: 3.091 4.418 8.891 Å, 90.00 90.00 90.00°
Space group Immm (No. 71)
Unique sites:
Zn1 0.000 0.000 0.000
Rh1 0.000 0.000 0.500
Au1 0.000 0.500 0.264

Results
Magnetic moment: 0.000 μB per atom
Formation energy: -3.8 kJ per mole of atoms
D(E_F): 4.633 states/eV/cell


Compound: MgTlZn2
Source: Alexandria
Functional: PBEsol
Structure: optimized geometry

Cell: 3.2042 3.2042 27.0531 Å, 90.00 90.00 120.00°
Space group R-3m (No. 166, hexagonal axes)
Unique sites:
Mg1 0.0000 0.0000 0.0000
Tl1 0.0000 0.0000 0.5000
Zn1 0.0000 0.0000 0.2541

Results
Magnetic moment: 0.000 μB per atom
Formation energy: 13.0 kJ per mole of atoms
D(E_F): 4.557 states/eV/cell


Compound: BeAl2Cu
Source: Alexandria
Functional: PBEsol
Structure: optimized geometry

Cell: 2.7529 2.7529 23.8150 Å, 90.00 90.00 120.00°
Space group R-3m (No. 166, hexagonal axes)
Unique sites:
Be1 0.0000 0.0000 0.0000
Al1 0.0000 0.0000 0.2510
Cu1 0.0000 0.0000 0.5000

Results
Magnetic moment: 0.000 μB per atom
Formation energy: 6.9 kJ per mole of atoms
D(E_F): 3.705 states/eV/cell


Compound: Li2FeTc
Source: Alexandria
Functional: PBEsol
Structure: optimized geometry

Cell: 5.654 5.654 5.654 Å, 90.00 90.00 90.00°
Space group F-43m (No. 216)
Unique sites:
Li1 0.000 0.000 0.000
Li2 0.250 0.250 0.250
Fe1 0.000 0.000 0.500
Tc1 0.250 0.250 0.750

Results
Magnetic moment: 0.111 μB per atom
Formation energy: 31.4 kJ per mole of atoms
D(E_F): 10.624 states/eV/cell


Compound: CuW2Au
Source: Alexandria
Functional: PBEsol
Structure: optimized geometry

Cell: 9.457 2.856 4.526 Å, 90.00 100.75 90.00°
Space group C2/m (No. 12)
Unique sites:
Cu1 0.000 0.000 0.000
W1 0.249 0.500 0.246
Au1 0.000 0.500 0.500

Results
Magnetic moment: 0.000 μB per atom
Formation energy: 35.5 kJ per mole of atoms
D(E_F): 4.711 states/eV/cell


Compound: ReAu
Source: Alexandria
Functional: PBEsol
Structure: optimized geometry

Cell: 2.829 3.894 5.711 Å, 90.00 90.87 90.00°
Space group P2_1/m (No. 11)
Unique sites:
Re1 0.213 0.250 0.100
Au1 0.251 0.250 0.625

Results
Magnetic moment: 0.000 μB per atom
Formation energy: 31.0 kJ per mole of atoms
D(E_F): 2.891 states/eV/cell


Compound: CsCoSi2Bi
Source: Alexandria
Functional: PBEsol
Structure: optimized geometry

Cell: 5.576 5.576 4.881 Å, 90.00 90.00 90.00°
Space group P4/mmm (No. 123)
Unique sites:
Cs1 0.000 0.000 0.000
Co1 0.500 0.500 0.000
Si1 0.000 0.500 0.500
Bi1 0.500 0.500 0.500

Results
Energy relative to the elements, uncorrected: 1.18 eV per atom
Magnetic moment: 0.227 μB per atom
D(E_F): 8.399 states/eV/cell


no.,calculated volume (Å³/atom),raw total energy (hartree per atom)
1,26.0,-0.099
2,22.2,-0.078
3,25.4,-0.135
4,30.0,-0.133
5,13.3,-0.176
6,15.2,-0.163
7,20.0,-0.064
8,13.0,-0.149
9,11.3,-0.210
10,15.0,-0.316
11,15.7,-0.305
12,30.3,-0.136